# 1
! BiIrS2Cl PBE optimized geometry; values from VASP
! Polymorph energy (0 for the lowest one) in kJ/mol of formula units: 0
&SYSTEM
  ibrav = 0, nat = 5, ntyp = 4
/
ATOMIC_SPECIES
Bi 208.98 Bi.upf
Ir 192.22 Ir.upf
S 32.06 S.upf
Cl 35.45 Cl.upf
ATOMIC_POSITIONS angstrom
Bi 0.0000 0.0000 0.0000
Ir 2.3750 2.3750 2.3380
S 0.0000 2.3750 2.3380
S 2.3750 0.0000 2.3380
Cl 2.3750 2.3750 0.0000
CELL_PARAMETERS angstrom
4.7499 0.0000 0.0000
0.0000 4.7499 0.0000
0.0000 0.0000 4.6760


# 2
! PaZnCuRh PBE optimized geometry; values from VASP
! ΔE_f in eV/atom: -0.28
&SYSTEM
  ibrav = 0, nat = 16, ntyp = 4
/
ATOMIC_SPECIES
Pa 231.04 Pa.upf
Zn 65.41 Zn.upf
Cu 63.55 Cu.upf
Rh 102.91 Rh.upf
ATOMIC_POSITIONS angstrom
Pa 0.0000 0.0000 0.0000
Pa 0.0000 3.2798 3.2798
Pa 3.2798 0.0000 3.2798
Pa 3.2798 3.2798 0.0000
Zn 0.0000 0.0000 3.2798
Zn 0.0000 3.2798 0.0000
Zn 3.2798 0.0000 0.0000
Zn 3.2798 3.2798 3.2798
Cu 1.6399 1.6399 1.6399
Cu 1.6399 4.9196 4.9196
Cu 4.9196 1.6399 4.9196
Cu 4.9196 4.9196 1.6399
Rh 1.6399 1.6399 4.9196
Rh 1.6399 4.9196 1.6399
Rh 4.9196 1.6399 1.6399
Rh 4.9196 4.9196 4.9196
CELL_PARAMETERS angstrom
6.5595 0.0000 0.0000
0.0000 6.5595 0.0000
0.0000 0.0000 6.5595


# 3
! EuMgAlIn PBE optimized geometry; values from VASP
! ΔE_f in eV/atom: -0.24
&SYSTEM
  ibrav = 0, nat = 16, ntyp = 4
/
ATOMIC_SPECIES
Eu 151.96 Eu.upf
Mg 24.30 Mg.upf
Al 26.98 Al.upf
In 114.82 In.upf
ATOMIC_POSITIONS angstrom
Eu 0.0000 0.0000 0.0000
Eu 0.0000 3.6592 3.6592
Eu 3.6592 0.0000 3.6592
Eu 3.6592 3.6592 0.0000
Mg 0.0000 0.0000 3.6592
Mg 0.0000 3.6592 0.0000
Mg 3.6592 0.0000 0.0000
Mg 3.6592 3.6592 3.6592
Al 1.8296 1.8296 5.4888
Al 1.8296 5.4888 1.8296
Al 5.4888 1.8296 1.8296
Al 5.4888 5.4888 5.4888
In 1.8296 1.8296 1.8296
In 1.8296 5.4888 5.4888
In 5.4888 1.8296 5.4888
In 5.4888 5.4888 1.8296
CELL_PARAMETERS angstrom
7.3183 0.0000 0.0000
0.0000 7.3183 0.0000
0.0000 0.0000 7.3183


# 4
! Tb2Pr2Pd3 PBE optimized geometry; values from VASP
! ΔE_f in eV/atom: -0.67
&SYSTEM
  ibrav = 0, nat = 14, ntyp = 3
/
ATOMIC_SPECIES
Tb 158.93 Tb.upf
Pr 140.91 Pr.upf
Pd 106.42 Pd.upf
ATOMIC_POSITIONS angstrom
Tb 1.9660 0.0000 0.5345
Tb -0.5161 1.9860 6.4559
Tb 8.7319 1.9860 0.5345
Tb 6.2498 0.0000 6.4559
Pr -0.9481 1.9860 2.7428
Pr 2.3979 0.0000 4.2476
Pr 5.8179 0.0000 2.7428
Pr 9.1638 1.9860 4.2476
Pd 0.0000 1.9860 0.0000
Pd -2.0441 0.0000 4.8666
Pd 3.4939 1.9860 2.1238
Pd 6.7660 0.0000 0.0000
Pd 4.7218 1.9860 4.8666
Pd 10.2599 0.0000 2.1238
CELL_PARAMETERS angstrom
13.5319 0.0000 0.0000
0.0000 3.9719 0.0000
-5.3161 0.0000 6.9903


| no. | electronic total energy (eV for the cell shown) |
| --- | --- |
| 1 | -22.04 |
| 2 | -93.30 |
| 3 | -77.22 |
| 4 | -78.14 |